Entry 1:
Below is a relaxed Hf3HgC crystal, with properties calculated at the GGA-PBE level.

Results
space-group type	Cmcm

abc: 6.1503 6.1503 9.1348
angles: 90.00 90.00 148.18
Last column: nearest neighbours and their distance in Å.
Sites, in units of the cell vectors:
Hf 0.0365 0.9635 0.7500  2 C 2.32
Hf 0.3756 0.6244 0.5411  2 C 2.27
Hf 0.3756 0.6244 0.9589  2 C 2.27
Hf 0.6244 0.3756 0.0411  2 C 2.27
Hf 0.6244 0.3756 0.4589  2 C 2.27
Hf 0.9635 0.0365 0.2500  2 C 2.32
Hg 0.2536 0.7464 0.2500  8 Hf 2.97-3.03
Hg 0.7464 0.2536 0.7500  8 Hf 2.97-3.03
C 0.0000 0.0000 0.0000  6 Hf 2.27-2.32
C 0.0000 0.0000 0.5000  6 Hf 2.27-2.32


Entry 2:
Below is a relaxed AcPrSmHo crystal, with properties calculated at the GGA-PBE level.

Results
space-group type	F-43m

abc: 8.3688 8.3688 8.3688
angles: 90.00 90.00 90.00
Last column: nearest neighbours and their distance in Å.
Sites, in units of the cell vectors:
Ac 0.0000 0.0000 0.0000  4 Pr 3.62, 4 Sm 3.62
Ac 0.0000 0.5000 0.5000  4 Pr 3.62, 4 Sm 3.62
Ac 0.5000 0.0000 0.5000  4 Pr 3.62, 4 Sm 3.62
Ac 0.5000 0.5000 0.0000  4 Pr 3.62, 4 Sm 3.62
Pr 0.2500 0.2500 0.2500  4 Ho 3.62, 4 Ac 3.62
Pr 0.2500 0.7500 0.7500  4 Ac 3.62, 4 Ho 3.62
Pr 0.7500 0.2500 0.7500  4 Ac 3.62, 4 Ho 3.62
Pr 0.7500 0.7500 0.2500  4 Ac 3.62, 4 Ho 3.62
Sm 0.2500 0.2500 0.7500  4 Ac 3.62, 4 Ho 3.62
Sm 0.2500 0.7500 0.2500  4 Ac 3.62, 4 Ho 3.62
Sm 0.7500 0.2500 0.2500  4 Ac 3.62, 4 Ho 3.62
Sm 0.7500 0.7500 0.7500  4 Ac 3.62, 4 Ho 3.62
Ho 0.0000 0.0000 0.5000  4 Sm 3.62, 4 Pr 3.62
Ho 0.0000 0.5000 0.0000  4 Sm 3.62, 4 Pr 3.62
Ho 0.5000 0.0000 0.0000  4 Sm 3.62, 4 Pr 3.62
Ho 0.5000 0.5000 0.5000  4 Sm 3.62, 4 Pr 3.62


Entry 3:
Below is a relaxed Tb3Dy8Y2 crystal, with properties calculated at the GGA-PBE level.

Results
space-group type	Immm

abc: 11.9697 11.9697 11.9697
angles: 152.95 146.99 43.18
Last column: nearest neighbours and their distance in Å.
Sites, in units of the cell vectors:
Tb 0.0000 0.0000 0.0000  4 Tb 3.32
Tb 0.2630 0.5000 0.7630  4 Tb 3.22-3.58, 2 Dy 3.38
Tb 0.7370 0.5000 0.2370  4 Tb 3.22-3.58, 2 Dy 3.38
Dy 0.1103 0.3483 0.7620  4 Dy 3.24-3.56, 3 Y 3.31-3.60, 1 Tb 3.38
Dy 0.1814 0.1814 0.0000  4 Dy 3.38, 4 Y 3.51-3.53
Dy 0.4138 0.6517 0.7620  4 Dy 3.24-3.56, 3 Y 3.31-3.60, 1 Tb 3.38
Dy 0.4252 0.9252 0.5000  1 Y 3.30, 5 Dy 3.33-3.66, 4 Tb 3.63
Dy 0.5748 0.0748 0.5000  1 Y 3.30, 5 Dy 3.33-3.66, 4 Tb 3.63
Dy 0.5863 0.3483 0.2380  4 Dy 3.24-3.56, 3 Y 3.31-3.60, 1 Tb 3.38
Dy 0.8186 0.8186 0.0000  4 Dy 3.38, 4 Y 3.51-3.53
Dy 0.8897 0.6517 0.2380  4 Dy 3.24-3.56, 3 Y 3.31-3.60, 1 Tb 3.38
Y 0.2768 0.7768 0.5000  11 Dy 3.30-3.60
Y 0.7232 0.2232 0.5000  11 Dy 3.30-3.60


Number 1: ΔE_f -0.509 eV/atom, ΔE to the lowest computed polymorph 0.000 eV per atom. Number 2: ΔE_f 0.167 eV/atom, ΔE to the lowest computed polymorph 0.122 eV per atom. Number 3: ΔE_f 0.160 eV/atom, ΔE to the lowest computed polymorph 0.000 eV per atom.